Entry a
First-principles (GGA-PBE) data for a relaxed structure of ZrCrRe, as listed in the Alexandria database.

POSCAR file:
```
ZrCrRe
1.0
-0.123 -0.999 -2.797
2.263 -0.785 1.761
-3.352 -5.180 1.998
Re Zr Cr
1 1 1
direct
0.667 0.333 0.301
0.333 0.667 0.675
0.000 0.000 0.024
```

Calculated values
Total magnetization (μB per atom): 0.000

***

Entry b
First-principles (GGA-PBE) data for a relaxed structure of ZrCrRe, as listed in the Alexandria database.

POSCAR file:
```
ZrCrRe
1.0
4.410 0.000 0.000
2.205 3.819 0.000
2.205 1.273 3.601
Zr Re Cr
1 1 1
direct
0.750 0.750 0.750
0.500 0.500 0.500
0.000 0.000 0.000
```

Calculated values
Total magnetization (μB per atom): 0.938

***

Entry c
First-principles (GGA-PBE) data for a relaxed structure of ZrCrRe, as listed in the Alexandria database.

POSCAR file:
```
ZrCrRe
1.0
-1.688 -3.679 -1.723
3.308 -0.240 2.889
-1.888 -0.141 2.150
Re Cr Zr
1 1 1
direct
0.667 0.333 0.311
0.000 0.000 0.017
0.333 0.667 0.671
```

Calculated values
Total magnetization (μB per atom): 0.000

***

Entry d
First-principles (GGA-PBE) data for a relaxed structure of ZrCrRe, as listed in the Alexandria database.

POSCAR file:
```
ZrCrRe
1.0
-1.853 -2.715 -4.307
-3.138 -4.396 -0.428
0.700 4.841 2.330
Re Zr Cr
1 1 1
direct
0.349 0.349 0.000
0.664 0.664 0.000
0.987 0.987 0.000
```

Calculated values
Total magnetization (μB per atom): 0.000

***

It is entry d that is the most stable of them.

***

Entry a
First-principles (GGA-PBE) data for a relaxed structure of ZrCrRe, as listed in the Alexandria database.

POSCAR file:
```
ZrCrRe
1.0
-0.339 -0.668 -6.925
1.935 -2.104 -6.121
-2.169 -1.710 -0.506
Cr Zr Re
1 1 1
direct
0.990 0.990 0.010
0.663 0.663 0.337
0.346 0.346 0.654
```

Calculated values
Total magnetization (μB per atom): 0.000

***

Entry b
First-principles (GGA-PBE) data for a relaxed structure of ZrCrRe, as listed in the Alexandria database.

POSCAR file:
```
ZrCrRe
1.0
4.244 0.000 0.000
2.122 3.675 0.000
2.122 1.225 3.465
Re Cr Zr
1 1 1
direct
0.000 0.000 0.000
0.750 0.750 0.750
0.500 0.500 0.500
```

Calculated values
Total magnetization (μB per atom): 0.000

***

It is entry a that is the most stable of them.

***

Entry a
First-principles (GGA-PBE) data for a relaxed structure of Cr4Rh3, as listed in the Alexandria database.

POSCAR file:
```
Cr4Rh3
1.0
-1.452 1.452 10.849
1.452 -1.452 10.849
1.452 1.452 -10.849
Cr Rh
4 3
direct
0.423 0.423 0.000
0.132 0.132 0.000
0.868 0.868 0.000
0.577 0.577 0.000
0.706 0.706 0.000
0.294 0.294 0.000
0.000 0.000 0.000
```

Calculated values
Total magnetization (μB per atom): 0.046

***

Entry b
First-principles (GGA-PBE) data for a relaxed structure of Cr4Rh3, as listed in the Alexandria database.

POSCAR file:
```
Cr4Rh3
1.0
-3.504 2.508 2.655
2.881 -3.487 2.272
2.985 3.116 0.997
Rh Cr
3 4
direct
0.500 0.000 0.000
0.000 0.500 0.000
0.500 0.500 0.000
0.667 0.333 0.500
0.000 0.000 0.722
0.000 0.000 0.278
0.333 0.667 0.500
```

Calculated values
Total magnetization (μB per atom): 0.660

***

It is entry a that is the most stable of them.

***

Entry a
First-principles (GGA-PBE) data for a relaxed structure of CrRuRh6, as listed in the Alexandria database.

POSCAR file:
```
CrRuRh6
1.0
-2.015 3.899 -3.391
-3.003 -4.403 1.534
1.015 2.615 4.612
Cr Ru Rh
1 1 6
direct
0.000 0.000 0.000
0.500 0.500 0.500
0.530 0.979 0.751
0.021 0.470 0.249
0.770 0.770 0.235
0.230 0.230 0.765
0.979 0.530 0.751
0.470 0.021 0.249
```

Calculated values
Total magnetization (μB per atom): 0.029

***

Entry b
First-principles (GGA-PBE) data for a relaxed structure of CrRuRh6, as listed in the Alexandria database.

POSCAR file:
```
CrRuRh6
1.0
3.835 0.000 0.000
0.000 5.395 -0.035
0.000 0.034 5.395
Rh Ru Cr
6 1 1
direct
0.000 0.751 0.751
0.000 0.249 0.249
0.000 0.249 0.751
0.500 0.000 0.500
0.500 0.500 0.000
0.000 0.751 0.249
0.500 0.500 0.500
0.500 0.000 0.000
```

Calculated values
Total magnetization (μB per atom): 0.217

***

It is entry b that is the most stable of them.

***

Entry a
First-principles (GGA-PBE) data for a relaxed structure of Cr2RuRh3, as listed in the Alexandria database.

POSCAR file:
```
Cr2RuRh3
1.0
4.552 0.000 0.775
-0.001 5.334 -0.003
-1.080 -2.667 6.412
Rh Cr Ru
6 4 2
direct
0.180 0.921 0.341
0.820 0.079 0.659
0.500 0.750 0.000
0.180 0.421 0.341
0.820 0.579 0.659
0.500 0.250 0.000
0.328 0.334 0.667
0.328 0.834 0.667
0.672 0.166 0.333
0.672 0.666 0.333
0.000 0.500 0.000
0.000 0.000 0.000
```

Calculated values
Total magnetization (μB per atom): 0.004

***

Entry b
First-principles (GGA-PBE) data for a relaxed structure of Cr2RuRh3, as listed in the Alexandria database.

POSCAR file:
```
Cr2RuRh3
1.0
5.664 -0.004 -0.002
0.002 5.664 -0.002
0.004 0.004 5.664
Cr Rh Ru
4 6 2
direct
0.500 0.500 0.000
0.000 0.500 0.500
0.500 0.000 0.500
0.000 0.000 0.000
0.250 0.750 0.750
0.750 0.250 0.750
0.250 0.250 0.250
0.750 0.750 0.750
0.750 0.250 0.250
0.250 0.750 0.250
0.750 0.750 0.250
0.250 0.250 0.750
```

Calculated values
Total magnetization (μB per atom): 0.000

***

It is entry a that is the most stable of them.

***

Entry a
First-principles (GGA-PBE) data for a relaxed structure of Cr2RuRh2, as listed in the Alexandria database.

POSCAR file:
```
Cr2RuRh2
1.0
7.130 0.000 0.000
0.000 7.130 0.000
0.000 0.000 2.678
Rh Ru Cr
4 2 4
direct
0.371 0.871 0.000
0.871 0.629 0.000
0.129 0.371 0.000
0.629 0.129 0.000
0.000 0.000 0.000
0.500 0.500 0.000
0.670 0.830 0.500
0.330 0.170 0.500
0.830 0.330 0.500
0.170 0.670 0.500
```

Calculated values
Total magnetization (μB per atom): 0.000

***

Entry b
First-principles (GGA-PBE) data for a relaxed structure of Cr2RuRh2, as listed in the Alexandria database.

POSCAR file:
```
Cr2RuRh2
1.0
7.073 0.000 0.000
0.000 7.073 0.000
0.000 0.000 2.698
Rh Ru Cr
4 2 4
direct
0.179 0.679 0.500
0.679 0.821 0.500
0.321 0.179 0.500
0.821 0.321 0.500
0.000 0.000 0.000
0.500 0.500 0.000
0.886 0.614 0.000
0.114 0.386 0.000
0.386 0.886 0.000
0.614 0.114 0.000
```

Calculated values
Total magnetization (μB per atom): 0.000

***

It is entry b that is the most stable of them.